Entry 1:
## HoSc2InAu4 (PBE-GGA)

Data for a relaxed structure of HoSc2InAu4.

Calculated values
Space group   R-3m (166)
Total magnetic moment   0.00 μB per formula unit
Raw total energy   -38.9 eV/cell
Formation enthalpy at 0 K   -5.8 eV per formula unit

Unit cell a=4.8631 b=4.8631 c=8.5438 alpha=73.47 beta=73.47 gamma=60.00
Sites, in units of the cell vectors:
Au: 0.1204 0.1204 0.6389
Au: 0.6295 0.6295 0.1115
Au: 0.8796 0.8796 0.3611
Au: 0.3705 0.3705 0.8885
Ho: 0.0000 0.0000 0.0000
Sc: 0.2439 0.2439 0.2682
Sc: 0.7561 0.7561 0.7318
In: 0.5000 0.5000 0.5000



Entry 2:
## SmHo2InAu4 (PBE-GGA)

Data for a relaxed structure of SmHo2InAu4.

Calculated values
Space group   R-3m (166)
Total magnetic moment   0.00 μB per formula unit
Raw total energy   -35.8 eV/cell
Formation enthalpy at 0 K   -6.1 eV per formula unit

Unit cell a=5.0272 b=5.0272 c=8.8467 alpha=73.49 beta=73.49 gamma=60.00
Sites, in units of the cell vectors:
Au: 0.1202 0.1202 0.6394
Au: 0.3685 0.3685 0.8944
Au: 0.8798 0.8798 0.3606
Au: 0.6315 0.6315 0.1056
In: 0.5000 0.5000 0.5000
Sm: 0.0000 0.0000 0.0000
Ho: 0.2421 0.2421 0.2736
Ho: 0.7579 0.7579 0.7264



Entry 3:
## HoInSnAu (PBE-GGA)

Data for a relaxed structure of HoInSnAu.

Calculated values
Space group   F-43m (216)
Total magnetic moment   0.00 μB per formula unit
Raw total energy   -16.0 eV/cell
Formation enthalpy at 0 K   -1.4 eV per formula unit

Unit cell a=5.1316 b=5.1316 c=5.1316 alpha=60.00 beta=60.00 gamma=60.00
Sites, in units of the cell vectors:
In: 0.5000 0.5000 0.5000
Au: 0.7500 0.7500 0.7500
Sn: 0.2500 0.2500 0.2500
Ho: 0.0000 0.0000 0.0000



Entry 4:
## HoIn2Te4Au (PBE-GGA)

Data for a relaxed structure of HoIn2Te4Au.

Calculated values
Space group   P2/m (10)
Total magnetic moment   0.00 μB per formula unit
Raw total energy   -29.8 eV/cell
ΔE_f (raw)   -0.49 eV per atom

Unit cell a=4.2634 b=7.8779 c=7.7973 alpha=69.74 beta=90.00 gamma=90.00
Sites, in units of the cell vectors:
In: 0.5000 0.0000 0.5000
In: 0.0000 0.0000 0.0000
Te: 0.5000 0.7460 0.2691
Te: 0.5000 0.2540 0.7309
Te: 0.0000 0.2859 0.2253
Te: 0.0000 0.7141 0.7747
Au: 0.5000 0.5000 0.0000
Ho: 0.0000 0.5000 0.5000



Entry 5:
## HoTlInAu (PBE-GGA)

Data for a relaxed structure of HoTlInAu.

Calculated values
Space group   F-43m (216)
Total magnetic moment   0.00 μB per formula unit
Raw total energy   -14.5 eV/cell
Formation enthalpy at 0 K   -1.5 eV per formula unit

Unit cell a=5.1148 b=5.1148 c=5.1148 alpha=60.00 beta=60.00 gamma=60.00
Sites, in units of the cell vectors:
In: 0.2500 0.2500 0.2500
Au: 0.0000 0.0000 0.0000
Tl: 0.5000 0.5000 0.5000
Ho: 0.7500 0.7500 0.7500



Entry 6:
## Ho4Tl2InAu (PBE-GGA)

Data for a relaxed structure of Ho4Tl2InAu.

Calculated values
Space group   R-3m (166)
Total magnetic moment   0.00 μB per formula unit
Raw total energy   -32.8 eV/cell
Formation enthalpy at 0 K   -3.7 eV per formula unit

Unit cell a=5.2753 b=5.2753 c=9.1185 alpha=73.19 beta=73.19 gamma=60.00
Sites, in units of the cell vectors:
Tl: 0.7475 0.7475 0.7576
Tl: 0.2525 0.2525 0.2424
Ho: 0.6198 0.6198 0.1406
Ho: 0.8708 0.8708 0.3876
Ho: 0.3802 0.3802 0.8594
Ho: 0.1292 0.1292 0.6124
In: 0.0000 0.0000 0.0000
Au: 0.5000 0.5000 0.5000



Entry 7:
## HoTmInAu (PBE-GGA)

Data for a relaxed structure of HoTmInAu.

Calculated values
ΔE to the lowest computed polymorph   0.0000 eV/atom
Space group   P4mm (99)
Total magnetic moment   0.00 μB per formula unit
Raw total energy   -17.8 eV/cell
Formation enthalpy at 0 K   -2.7 eV per formula unit

Unit cell a=3.5795 b=3.5795 c=7.6190 alpha=90.00 beta=90.00 gamma=90.00
Sites, in units of the cell vectors:
Tm: 0.0000 0.0000 0.3781
Ho: 0.0000 0.0000 0.8397
Au: 0.5000 0.5000 0.6001
In: 0.5000 0.5000 0.1102



Entry 8:
## HoTmInAu (PBE-GGA)

Data for a relaxed structure of HoTmInAu.

Calculated values
ΔE to the lowest computed polymorph   0.0516 eV/atom
Space group   F-43m (216)
Total magnetic moment   0.00 μB per formula unit
Raw total energy   -17.5 eV/cell
Formation enthalpy at 0 K   -2.5 eV per formula unit

Unit cell a=5.1766 b=5.1766 c=5.1766 alpha=60.00 beta=60.00 gamma=60.00
Sites, in units of the cell vectors:
In: 0.5000 0.5000 0.5000
Ho: 0.2500 0.2500 0.2500
Tm: 0.7500 0.7500 0.7500
Au: 0.0000 0.0000 0.0000



Entry 9:
## HoZnInAu (PBE-GGA)

Data for a relaxed structure of HoZnInAu.

Calculated values
Space group   F-43m (216)
Total magnetic moment   0.00 μB per formula unit
Raw total energy   -13.9 eV/cell
Formation enthalpy at 0 K   -2.0 eV per formula unit

Unit cell a=4.8943 b=4.8943 c=4.8943 alpha=60.00 beta=60.00 gamma=60.00
Sites, in units of the cell vectors:
In: 0.2500 0.2500 0.2500
Au: 0.5000 0.5000 0.5000
Zn: 0.0000 0.0000 0.0000
Ho: 0.7500 0.7500 0.7500



Entry 10:
## Ho7Ir2Au2 (PBE-GGA)

Data for a relaxed structure of Ho7Ir2Au2.

Calculated values
Space group   Cmmm (65)
Total magnetic moment   0.00 μB per formula unit
Raw total energy   -62.8 eV/cell
Formation enthalpy at 0 K   -6.4 eV per formula unit

Unit cell a=6.6594 b=6.9999 c=6.6594 alpha=90.00 beta=105.34 gamma=90.00
Sites, in units of the cell vectors:
Ho: 0.5002 0.7510 0.4998
Ho: 0.4998 0.2490 0.5002
Ho: 0.4997 0.2552 0.0002
Ho: 0.0002 0.7448 0.4997
Ho: 0.9998 0.2552 0.5003
Ho: 0.0000 0.0000 0.0000
Ho: 0.5003 0.7448 0.9998
Au: 0.7982 0.5000 0.7982
Au: 0.2018 0.5000 0.2018
Ir: 0.7151 0.0000 0.2849
Ir: 0.2849 0.0000 0.7151



Entry 11:
## Ho4Ir3Au (PBE-GGA)

Data for a relaxed structure of Ho4Ir3Au.

Calculated values
Space group   P4/mmm (123)
Total magnetic moment   0.00 μB per formula unit
Raw total energy   -109.8 eV/cell
Formation enthalpy at 0 K   -6.7 eV per formula unit

Unit cell a=4.9503 b=6.7221 c=9.9003 alpha=90.00 beta=90.00 gamma=90.00
Sites, in units of the cell vectors:
Ho: 0.0004 0.2430 0.7500
Ho: 0.5000 0.7570 0.5000
Ho: 0.5000 0.2430 0.5000
Ho: 0.5000 0.2430 0.0000
Ho: 0.0004 0.7570 0.7500
Ho: 0.9996 0.2430 0.2500
Ho: 0.5000 0.7570 0.0000
Ho: 0.9996 0.7570 0.2500
Ir: 0.4996 0.5000 0.2500
Ir: 0.4995 0.0000 0.2500
Ir: 0.0000 0.0000 0.0000
Ir: 0.5005 0.0000 0.7500
Ir: 0.5004 0.5000 0.7500
Ir: 0.0000 0.0000 0.5000
Au: 0.0000 0.5000 0.5000
Au: 0.0000 0.5000 0.0000



Entry 12:
## Ho5IrAu2 (PBE-GGA)

Data for a relaxed structure of Ho5IrAu2.

Calculated values
Space group   Pbam (55)
Total magnetic moment   0.00 μB per formula unit
Raw total energy   -88.5 eV/cell
Formation enthalpy at 0 K   -5.9 eV per formula unit

Unit cell a=4.7361 b=7.2053 c=11.7017 alpha=90.00 beta=90.00 gamma=90.00
Sites, in units of the cell vectors:
Ho: 0.5000 0.6784 0.4142
Ho: 0.5000 0.8216 0.9142
Ho: 0.5000 0.1784 0.0858
Ho: 0.0000 0.8463 0.2078
Ho: 0.0000 0.6537 0.7078
Ho: 0.0000 0.5000 0.0000
Ho: 0.0000 0.3463 0.2922
Ho: 0.0000 0.0000 0.5000
Ho: 0.0000 0.1537 0.7922
Ho: 0.5000 0.3216 0.5858
Au: 0.5000 0.0684 0.3373
Au: 0.5000 0.5684 0.1627
Au: 0.5000 0.4316 0.8373
Au: 0.5000 0.9316 0.6627
Ir: 0.0000 0.5000 0.5000
Ir: 0.0000 0.0000 0.0000